1.
Li2ZrFe (GGA-PBE, optimized geometry); DFT formation energy = 0.36 eV/atom; theoretical density = 3.9 g/cm³
1.0
10.238 -0.013 -0.008
9.862 2.747 -0.008
9.862 1.341 2.397
Fe Li Zr
1 2 1
Direct
0.750 0.750 0.750
0.009 0.009 0.009
0.491 0.491 0.491
0.250 0.250 0.250

=====

2.
Ba3H4O4 (GGA-PBE, optimized geometry); VASP energy = -56.351 eV for the cell shown; theoretical density = 3.7 g/cm³
1.0
3.759 0.001 -0.002
-0.001 4.108 0.708
1.849 4.269 14.683
Ba H O
3 4 4
Direct
0.148 0.555 0.698
0.852 0.445 0.302
0.000 0.000 0.000
0.566 0.543 0.864
0.301 0.775 0.407
0.699 0.225 0.593
0.434 0.457 0.136
0.574 0.336 0.849
0.426 0.664 0.151
0.336 0.890 0.335
0.664 0.110 0.665

=====

3.
MgCd2Pt (GGA-PBE, optimized geometry); DFT formation energy = -0.14 eV/atom; theoretical density = 8.9 g/cm³
1.0
-3.887 -0.849 0.719
1.110 -2.794 2.704
-1.565 5.160 8.999
Mg Pt Cd
2 2 4
Direct
0.500 0.500 0.000
0.250 0.750 0.500
0.000 0.000 0.000
0.750 0.250 0.500
0.635 0.125 0.250
0.115 0.625 0.250
0.375 0.365 0.750
0.875 0.885 0.750

=====

4.
MnZnCl3 (GGA-PBE, optimized geometry); VASP energy = -18.770 eV for the cell shown; theoretical density = 3.2 g/cm³
1.0
4.919 0.000 0.000
0.000 4.919 0.000
0.000 0.000 4.919
Zn Mn Cl
1 1 3
Direct
0.500 0.500 0.500
0.000 0.000 0.000
0.000 0.500 0.000
0.000 0.000 0.500
0.500 0.000 0.000